a:
ThHRu | PBE | optimized geometry

SG = No. 107

Cell lengths 3.918, 3.918, 4.489 Å; angles 115.87, 115.87, 90.00 degrees
Positions (direct):
Ru (0.211, 0.211, 0.422)
Th (0.660, 0.660, 0.320)
H (0.979, 0.979, 0.958)

***

b:
ThHRu | PBE | optimized geometry

SG = No. 187

Cell lengths 3.687, 3.930, 3.930 Å; angles 120.00, 90.00, 90.00 degrees
Positions (direct):
Ru (0.167, 0.000, 0.000)
Th (0.666, 0.333, 0.667)
H (0.167, 0.667, 0.333)

***

Which of them is the least stable? Correct choice: b.

***

a:
BeTcCl2 | PBE | optimized geometry

SG = No. 12

Cell lengths 5.099, 5.099, 3.190 Å; angles 68.65, 68.65, 104.10 degrees
Site moments in Bohr magnetons follow the coordinates.
Positions (direct):
Be (0.000, 0.500, 0.500)  -0.07
Tc (0.500, 0.000, 0.500)  1.76
Cl (0.000, 0.000, 0.000)  0.03
Cl (0.500, 0.500, 0.000)  0.03

***

b:
BeTcCl2 | PBE | optimized geometry

SG = No. 10

Cell lengths 4.077, 3.108, 5.038 Å; angles 95.50, 90.00, 90.00 degrees
Site moments in Bohr magnetons follow the coordinates.
Positions (direct):
Be (0.500, 0.750, 0.750)  -0.02
Tc (0.500, 0.250, 0.250)  1.12
Cl (0.000, 0.035, 0.000)  0.03
Cl (0.000, 0.465, 0.500)  0.03

***

Which of them is the least stable? Correct choice: a.